Record 1
Material: CaAlRh2
Method: DFT, PBE
State: relaxed

Properties
As for the formation energy: -0.28 eV per atom. The final energy is -5.40 eV/atom.

Cell and atoms, written as CIF:
```
data_CaAlRh2
_cell_length_a 3.333
_cell_length_b 3.333
_cell_length_c 6.532
_cell_angle_alpha 90.00
_cell_angle_beta 90.00
_cell_angle_gamma 90.00
_space_group_name_H-M_alt 'P 4 m m'
_space_group_IT_number 99
_space_group_name_Hall 'P 4 -2'
loop_
_atom_site_label
_atom_site_type_symbol
_atom_site_fract_x
_atom_site_fract_y
_atom_site_fract_z
Ca1 Ca 0.000 0.000 0.000
Al1 Al 0.500 0.500 0.640
Rh1 Rh 0.000 0.000 0.520
Rh2 Rh 0.500 0.500 0.248
```


Record 2
Material: CaAlRh2
Method: DFT, PBE
State: relaxed

Properties
As for the formation energy: -0.13 eV per atom. The final energy is -5.25 eV/atom.

Cell and atoms, written as CIF:
```
data_CaAlRh2
_cell_length_a 4.632
_cell_length_b 4.632
_cell_length_c 16.604
_cell_angle_alpha 90.00
_cell_angle_beta 90.00
_cell_angle_gamma 90.00
_space_group_name_H-M_alt 'I -4 2 d'
_space_group_IT_number 122
_space_group_name_Hall 'I -4 2bw'
loop_
_atom_site_label
_atom_site_type_symbol
_atom_site_fract_x
_atom_site_fract_y
_atom_site_fract_z
Ca1 Ca 0.000 0.000 0.000
Al1 Al 0.000 0.000 0.500
Rh1 Rh 0.109 0.250 0.625
```